[1]
CaNd2Pb9 | PBE | optimized geometry

## Properties
ΔH_f (0 K)   -0.358 eV per atom

Lattice parameters (Å, degrees): 4.928 4.928 14.829 90.00 90.00 90.00
Space group P4/mmm (No. 123)
Symmetry-distinct sites (fractional):
Ca (0.000, 0.000, 0.000) [1 per cell]
Nd (0.000, 0.000, 0.336) [2 per cell]
Pb (0.000, 0.500, 0.165) [4 per cell]
Pb (0.000, 0.500, 0.500) [2 per cell]
Pb (0.500, 0.500, 0.000) [1 per cell]
Pb (0.500, 0.500, 0.332) [2 per cell]

---

[2]
CaNdPb | PBE | optimized geometry

## Properties
ΔH_f (0 K)   -0.350 eV per atom

Lattice parameters (Å, degrees): 7.581 7.581 7.581 90.00 90.00 90.00
Space group F-43m (No. 216)
Symmetry-distinct sites (fractional):
Ca (0.000, 0.000, 0.000) [4 per cell]
Nd (0.000, 0.000, 0.500) [4 per cell]
Pb (0.250, 0.250, 0.750) [4 per cell]

---

[3]
CaNdPb2 | PBE | optimized geometry

## Properties
ΔH_f (0 K)   -0.521 eV per atom

Lattice parameters (Å, degrees): 3.606 3.606 9.259 90.00 90.00 90.00
Space group P4/mmm (No. 123)
Symmetry-distinct sites (fractional):
Ca (0.000, 0.000, 0.000) [1 per cell]
Nd (0.000, 0.000, 0.500) [1 per cell]
Pb (0.500, 0.500, 0.248) [2 per cell]

---

[4]
CaNd5Pb5 | PBE | optimized geometry

## Properties
ΔH_f (0 K)   -0.300 eV per atom

Lattice parameters (Å, degrees): 16.291 6.456 7.575 90.00 103.61 90.00
Space group C2/m (No. 12)
Symmetry-distinct sites (fractional):
Ca (0.000, 0.000, 0.000) [2 per cell]
Nd (0.000, 0.000, 0.500) [2 per cell]
Nd (0.164, 0.500, 0.827) [4 per cell]
Nd (0.165, 0.500, 0.330) [4 per cell]
Pb (0.000, 0.500, 0.000) [2 per cell]
Pb (0.166, 0.000, 0.339) [4 per cell]
Pb (0.168, 0.000, 0.837) [4 per cell]

---

[5]
CaNd2Pb3 | PBE | optimized geometry

## Properties
ΔE to the lowest computed polymorph   0 meV per atom
ΔH_f (0 K)   -0.518 eV per atom

Lattice parameters (Å, degrees): 3.604 3.604 13.901 90.00 90.00 90.00
Space group P4/mmm (No. 123)
Symmetry-distinct sites (fractional):
Ca (0.000, 0.000, 0.000) [1 per cell]
Nd (0.000, 0.000, 0.333) [2 per cell]
Pb (0.500, 0.500, 0.165) [2 per cell]
Pb (0.500, 0.500, 0.500) [1 per cell]

---

[6]
CaNdPb2 | PBE | optimized geometry

## Properties
ΔH_f (0 K)   -0.493 eV per atom

Lattice parameters (Å, degrees): 4.457 6.384 8.966 90.00 90.00 90.00
Space group Pmc2_1 (No. 26)
Symmetry-distinct sites (fractional):
Ca (0.000, 0.118, 0.000) [2 per cell]
Nd (0.500, 0.368, 0.376) [2 per cell]
Pb (0.000, 0.426, 0.648) [2 per cell]
Pb (0.500, 0.099, 0.727) [2 per cell]

---

[7]
CaNd3Pb3 | PBE | optimized geometry

## Properties
ΔH_f (0 K)   -0.303 eV per atom

Lattice parameters (Å, degrees): 9.113 13.411 8.062 90.00 92.72 90.00
Space group C2/m (No. 12)
Symmetry-distinct sites (fractional):
Ca (0.211, 0.000, 0.086) [4 per cell]
Nd (0.000, 0.279, 0.000) [4 per cell]
Nd (0.000, 0.348, 0.500) [4 per cell]
Nd (0.131, 0.000, 0.633) [4 per cell]
Pb (0.058, 0.500, 0.194) [4 per cell]
Pb (0.168, 0.174, 0.320) [8 per cell]

---

[8]
CaNdPb2 | PBE | optimized geometry

## Properties
ΔH_f (0 K)   -0.516 eV per atom

Lattice parameters (Å, degrees): 7.371 9.117 3.604 90.00 90.00 90.00
Space group Cmmm (No. 65)
Symmetry-distinct sites (fractional):
Ca (0.000, 0.000, 0.000) [2 per cell]
Nd (0.000, 0.500, 0.000) [2 per cell]
Pb (0.250, 0.250, 0.500) [4 per cell]

---

[9]
CaNd3Pb5 | PBE | optimized geometry

## Properties
ΔH_f (0 K)   -0.453 eV per atom

Lattice parameters (Å, degrees): 9.7372 9.7372 6.7074 90.00 90.00 120.00
Space group P6_3/mcm (No. 193)
Symmetry-distinct sites (fractional):
Ca (0.0000, 0.0000, 0.0000) [2 per cell]
Nd (0.0000, 0.3778, 0.2500) [6 per cell]
Pb (0.0000, 0.2925, 0.7500) [6 per cell]
Pb (0.3333, 0.6667, 0.0000) [4 per cell]

---

[10]
CaNd5Pb6 | PBE | optimized geometry

## Properties
ΔH_f (0 K)   -0.513 eV per atom

Lattice parameters (Å, degrees): 17.189 7.239 5.871 90.00 96.84 90.00
Space group C2/m (No. 12)
Symmetry-distinct sites (fractional):
Ca (0.000, 0.000, 0.000) [2 per cell]
Nd (0.000, 0.500, 0.000) [2 per cell]
Nd (0.167, 0.000, 0.685) [4 per cell]
Nd (0.167, 0.500, 0.669) [4 per cell]
Pb (0.000, 0.247, 0.500) [4 per cell]
Pb (0.164, 0.249, 0.175) [8 per cell]

---

[11]
CaNd4Pb5 | PBE | optimized geometry

## Properties
ΔH_f (0 K)   -0.518 eV per atom

Lattice parameters (Å, degrees): 3.600 3.600 23.238 90.00 90.00 90.00
Space group P4/mmm (No. 123)
Symmetry-distinct sites (fractional):
Ca (0.000, 0.000, 0.000) [1 per cell]
Nd (0.000, 0.000, 0.200) [2 per cell]
Nd (0.000, 0.000, 0.400) [2 per cell]
Pb (0.500, 0.500, 0.099) [2 per cell]
Pb (0.500, 0.500, 0.300) [2 per cell]
Pb (0.500, 0.500, 0.500) [1 per cell]

---

[12]
CaNdPb2 | PBE | optimized geometry

## Properties
ΔH_f (0 K)   -0.507 eV per atom

Lattice parameters (Å, degrees): 5.201 5.201 4.494 90.00 90.00 90.00
Space group P4/mmm (No. 123)
Symmetry-distinct sites (fractional):
Ca (0.000, 0.000, 0.000) [1 per cell]
Nd (0.500, 0.500, 0.000) [1 per cell]
Pb (0.000, 0.500, 0.500) [2 per cell]

---

[13]
CaNdPb | PBE | optimized geometry

## Properties
ΔH_f (0 K)   -0.325 eV per atom

Lattice parameters (Å, degrees): 3.703 3.703 14.671 90.00 90.00 90.00
Space group I4mm (No. 107)
Symmetry-distinct sites (fractional):
Ca (0.000, 0.000, 0.000) [2 per cell]
Nd (0.000, 0.000, 0.296) [2 per cell]
Pb (0.000, 0.000, 0.649) [2 per cell]

---

[14]
CaNdPb | PBE | optimized geometry

## Properties
ΔH_f (0 K)   -0.289 eV per atom

Lattice parameters (Å, degrees): 5.3965 5.3965 3.8732 90.00 90.00 120.00
Space group P3m1 (No. 156)
Symmetry-distinct sites (fractional):
Ca (0.0000, 0.0000, 0.0000) [1 per cell]
Nd (0.6667, 0.3333, 0.4576) [1 per cell]
Pb (0.3333, 0.6667, 0.7885) [1 per cell]

---

[15]
CaNdPb | PBE | optimized geometry

## Properties
ΔH_f (0 K)   -0.415 eV per atom

Lattice parameters (Å, degrees): 4.681 4.863 8.836 90.00 90.00 90.00
Space group Pmmn (No. 59, origin choice 2)
Symmetry-distinct sites (fractional):
Ca (0.250, 0.250, 0.141) [2 per cell]
Nd (0.250, 0.750, 0.530) [2 per cell]
Pb (0.250, 0.250, 0.770) [2 per cell]

---

[16]
CaPmNdPb | PBE | optimized geometry

## Properties
ΔH_f (0 K)   -0.182 eV per atom

Lattice parameters (Å, degrees): 7.977 7.977 7.977 90.00 90.00 90.00
Space group F-43m (No. 216)
Symmetry-distinct sites (fractional):
Ca (0.000, 0.000, 0.000) [4 per cell]
Pm (0.250, 0.250, 0.250) [4 per cell]
Nd (0.250, 0.250, 0.750) [4 per cell]
Pb (0.000, 0.000, 0.500) [4 per cell]

---

[17]
CaPrNdPb | PBE | optimized geometry

## Properties
ΔH_f (0 K)   -0.196 eV per atom

Lattice parameters (Å, degrees): 8.026 8.026 8.026 90.00 90.00 90.00
Space group F-43m (No. 216)
Symmetry-distinct sites (fractional):
Ca (0.000, 0.000, 0.000) [4 per cell]
Pr (0.250, 0.250, 0.250) [4 per cell]
Nd (0.250, 0.250, 0.750) [4 per cell]
Pb (0.000, 0.000, 0.500) [4 per cell]

---

[18]
CaNdRhPb | PBE | optimized geometry

## Properties
ΔH_f (0 K)   -0.413 eV per atom

Lattice parameters (Å, degrees): 7.424 7.424 7.424 90.00 90.00 90.00
Space group F-43m (No. 216)
Symmetry-distinct sites (fractional):
Ca (0.000, 0.000, 0.000) [4 per cell]
Nd (0.000, 0.000, 0.500) [4 per cell]
Rh (0.250, 0.250, 0.750) [4 per cell]
Pb (0.250, 0.250, 0.250) [4 per cell]

---

[19]
Ca2NdPbS4 | PBE | optimized geometry

## Properties
Formation energy without anion corrections   -1.648 eV per atom

Lattice parameters (Å, degrees): 7.114 4.065 7.152 90.00 109.23 90.00
Space group P2/m (No. 10)
Symmetry-distinct sites (fractional):
Ca (0.000, 0.000, 0.000) [1 per cell]
Ca (0.000, 0.500, 0.500) [1 per cell]
Nd (0.500, 0.000, 0.500) [1 per cell]
Pb (0.500, 0.500, 0.000) [1 per cell]
S (0.239, 0.000, 0.739) [2 per cell]
S (0.241, 0.500, 0.251) [2 per cell]

---

[20]
Ca3NdPb2S | PBE | optimized geometry

## Properties
Formation energy without anion corrections   -0.861 eV per atom

Lattice parameters (Å, degrees): 5.202 5.427 16.471 90.00 90.00 90.00
Space group Immm (No. 71)
Symmetry-distinct sites (fractional):
Ca (0.000, 0.000, 0.000) [2 per cell]
Ca (0.000, 0.500, 0.324) [4 per cell]
Nd (0.000, 0.000, 0.500) [2 per cell]
Pb (0.000, 0.500, 0.130) [4 per cell]
S (0.000, 0.500, 0.500) [2 per cell]

---

Table of DOS at the Fermi energy (states/eV/cell), in record order: 5.480, 10.104, 2.506, 19.423, 4.647, 5.538, 13.956, 3.666, 17.014, 18.416, 7.646, 2.901, 5.216, 3.614, 5.540, 22.297, 21.187, 8.654, 3.190, 8.137
Table of uncorrected energy (eV per atom), in record order: -4.101, -3.843, -4.068, -4.335, -4.295, -4.039, -4.222, -4.063, -4.325, -4.521, -4.480, -4.053, -3.817, -3.781, -3.908, -3.989, -4.010, -4.870, -5.272, -4.049